# PBE Cs2Li2ZnBr6, relaxed
# Spin magnetization   0.00 μB per cell
# Formation energy without anion corrections   -1.38 eV per atom
# VASP energy   -32.1 eV per cell
# Crystal system   monoclinic
# SG   C2/m, No. 12
data_Cs2Li2ZnBr6
_symmetry_space_group_name_H-M 'P 1'
_symmetry_Int_Tables_number 1
_cell_length_a 7.8578
_cell_length_b 7.8578
_cell_length_c 7.8869
_cell_angle_alpha 111.94
_cell_angle_beta 111.94
_cell_angle_gamma 58.71
loop_
_symmetry_equiv_pos_as_xyz
'x,y,z'
loop_
_atom_site_label
_atom_site_type_symbol
_atom_site_fract_x
_atom_site_fract_y
_atom_site_fract_z
_atom_site_occupancy
Cs1 Cs 0.2146 0.2146 0.1741 1
Cs2 Cs 0.7854 0.7854 0.8259 1
Li1 Li 0.4142 0.4142 0.7102 1
Li2 Li 0.5858 0.5858 0.2898 1
Zn1 Zn 0.0000 0.0000 0.5000 1
Br1 Br 0.2157 0.7444 0.2476 1
Br2 Br 0.2275 0.2275 0.6583 1
Br3 Br 0.2556 0.7843 0.7524 1
Br4 Br 0.7444 0.2157 0.2476 1
Br5 Br 0.7725 0.7725 0.3417 1
Br6 Br 0.7843 0.2556 0.7524 1